Record 1
OsCl2 | GGA-PBE | optimized geometry

As for the energy above the most stable polymorph in this dataset: 2.165 eV/f.u. For the density of states at the Fermi level, the calculation gives 2.30 states/eV/cell. The magnetization is 0.0 Bohr magnetons per cell. Its uncorrected formation energy is 0.772 eV per atom. The total energy comes out at -12.61 eV for the cell shown.

The structure in extended XYZ format:
```
3
Lattice="4.3425 0.0000 0.0000 0.0000 4.3425 0.0000 0.0000 0.0000 2.9014" Properties=species:S:1:pos:R:3 pbc="T T T"
Os 0.0000 0.0000 0.0000
Cl 0.0000 2.1712 1.4507
Cl 2.1712 0.0000 1.4507
```

Record 2
OsCl2 | GGA-PBE | optimized geometry

As for the energy above the most stable polymorph in this dataset: 0.439 eV/f.u. The magnetization is 0.0 Bohr magnetons per cell. Its uncorrected formation energy is 0.197 eV per atom. The total energy comes out at -14.33 eV for the cell shown.

The structure in extended XYZ format:
```
3
Lattice="3.6561 0.0000 0.0000 -1.8280 3.1663 0.0000 0.0000 0.0000 5.7376" Properties=species:S:1:pos:R:3 pbc="T T T"
Os 0.0000 0.0000 0.0000
Cl 0.0000 2.1108 1.1663
Cl 1.8280 1.0554 4.5714
```

Record 3
Os2Cl | GGA-PBE | optimized geometry

As for the energy above the most stable polymorph in this dataset: 3.982 eV/f.u. For the density of states at the Fermi level, the calculation gives 5.58 states/eV/cell. The magnetization is 0.0 Bohr magnetons per cell. Its uncorrected formation energy is 1.704 eV per atom. The total energy comes out at -38.39 eV for the cell shown.

The structure in extended XYZ format:
```
6
Lattice="4.0898 0.0000 0.0000 -2.0449 3.5419 0.0000 0.0000 0.0000 6.1720" Properties=species:S:1:pos:R:3 pbc="T T T"
Os 0.0000 0.0000 0.0000
Os 0.0000 0.0000 3.0860
Os 0.0000 2.3612 1.5430
Os 2.0449 1.1806 4.6290
Cl 0.0000 2.3612 4.6290
Cl 2.0449 1.1806 1.5430
```

Record 4
OsCl2 | GGA-PBE | optimized geometry

As for the energy above the most stable polymorph in this dataset: 1.225 eV/f.u. For the density of states at the Fermi level, the calculation gives 3.07 states/eV/cell. The magnetization is 4.0 Bohr magnetons per cell. Its uncorrected formation energy is 0.459 eV per atom. The total energy comes out at -27.09 eV for the cell shown.

The structure in extended XYZ format:
```
6
Lattice="1.6986 -6.8911 0.0000 1.6986 6.8911 0.0000 0.0000 0.0000 8.0442" Properties=species:S:1:pos:R:3 pbc="T T T"
Os 1.6986 5.2634 6.0332
Os 1.6986 -5.2634 2.0111
Cl 1.6986 3.2320 2.0111
Cl 1.6986 0.0264 2.0111
Cl 1.6986 -0.0264 6.0332
Cl 1.6986 -3.2320 6.0332
```

Record 5
OsCl5 | GGA-PBE | optimized geometry

As for the energy above the most stable polymorph in this dataset: 2.420 eV/f.u. For the density of states at the Fermi level, the calculation gives 4.47 states/eV/cell. The magnetization is 2.4 Bohr magnetons per cell. Its uncorrected formation energy is 0.395 eV per atom. The total energy comes out at -18.09 eV for the cell shown.

The structure in extended XYZ format:
```
6
Lattice="1.7867 -6.1699 0.0000 1.7867 6.1699 0.0000 0.0000 0.0000 6.8699" Properties=species:S:1:pos:R:3 pbc="T T T"
Os 0.0000 0.0000 0.0000
Cl 1.7867 4.0949 3.4350
Cl 1.7867 1.5121 0.0000
Cl 1.7867 0.0000 3.4350
Cl 1.7867 -1.5121 0.0000
Cl 1.7867 -4.0949 3.4350
```

Record 6
OsCl4 | GGA-PBE | optimized geometry

For the density of states at the Fermi level, the calculation gives 4.27 states/eV/cell. The magnetization is 4.0 Bohr magnetons per cell. Its uncorrected formation energy is -0.358 eV per atom. The total energy comes out at -40.81 eV for the cell shown.

The structure in extended XYZ format:
```
10
Lattice="3.7231 -7.4346 0.0000 3.7231 7.4346 0.0000 -2.9998 0.0000 5.1712" Properties=species:S:1:pos:R:3 pbc="T T T"
Os 1.4732 6.5370 3.8784
Os 2.9731 -6.5369 1.2928
Cl 0.9016 2.4470 1.2014
Cl -0.5905 0.8599 3.6707
Cl 0.9094 -0.8599 1.0851
Cl -0.5983 -2.4470 3.7870
Cl 5.0447 2.4470 1.3842
Cl 3.5369 0.8599 4.0861
Cl 5.0368 -0.8599 1.5005
Cl 3.5448 -2.4470 3.9697
```

Record 7
OsCl3 | GGA-PBE | optimized geometry

For the density of states at the Fermi level, the calculation gives 2.37 states/eV/cell. The magnetization is 0.0 Bohr magnetons per cell. Its uncorrected formation energy is 0.305 eV per atom. The total energy comes out at -15.55 eV for the cell shown.

The structure in extended XYZ format:
```
4
Lattice="1.4599 0.8429 11.6748 -1.4599 0.8429 11.6748 0.0000 -1.6857 11.6748" Properties=species:S:1:pos:R:3 pbc="T T T"
Os 0.0000 0.0000 0.0000
Cl 0.0000 0.0000 2.2044
Cl 0.0000 0.0000 17.5121
Cl 0.0000 0.0000 32.8199
```

Record 8
OsCl6 | GGA-PBE | optimized geometry

For the density of states at the Fermi level, the calculation gives 22.10 states/eV/cell. The magnetization is 8.1 Bohr magnetons per cell. Its uncorrected formation energy is -0.314 eV per atom. The total energy comes out at -98.02 eV for the cell shown.

The structure in extended XYZ format:
```
28
Lattice="11.4058 0.0000 0.0000 0.0000 11.2944 0.0000 0.0000 0.0000 6.2511" Properties=species:S:1:pos:R:3 pbc="T T T"
Os 1.4091 2.8236 0.5062
Os 4.2938 8.4708 3.6318
Os 7.1120 2.8236 2.6193
Os 9.9967 8.4708 5.7449
Cl 0.0381 1.1992 1.3747
Cl 0.0381 4.4479 1.3747
Cl 0.1719 2.8236 4.8250
Cl 2.6352 2.8236 2.4438
Cl 2.7800 1.2061 5.8838
Cl 2.7800 4.4411 5.8838
Cl 2.9229 6.8533 2.7583
Cl 2.9229 10.0883 2.7583
Cl 3.0677 8.4708 5.5694
Cl 5.5310 8.4708 1.6994
Cl 5.6648 6.8464 4.5002
Cl 5.6648 10.0951 4.5002
Cl 5.7411 1.1992 1.7509
Cl 5.7411 4.4479 1.7509
Cl 5.8748 2.8236 4.5517
Cl 8.3381 2.8236 0.6817
Cl 8.4829 1.2061 3.4928
Cl 8.4829 4.4411 3.4928
Cl 8.6259 6.8533 0.3673
Cl 8.6259 10.0883 0.3673
Cl 8.7706 8.4708 3.8073
Cl 11.2340 8.4708 1.4261
Cl 11.3677 6.8464 4.8765
Cl 11.3677 10.0951 4.8765
```

Record 9
Os2Cl | GGA-PBE | optimized geometry

As for the energy above the most stable polymorph in this dataset: 2.543 eV/f.u. For the density of states at the Fermi level, the calculation gives 5.98 states/eV/cell. The magnetization is 0.0 Bohr magnetons per cell. Its uncorrected formation energy is 1.224 eV per atom. The total energy comes out at -41.27 eV for the cell shown.

The structure in extended XYZ format:
```
6
Lattice="-1.3919 1.3919 12.8666 1.3919 -1.3919 12.8666 1.3919 1.3919 -12.8666" Properties=species:S:1:pos:R:3 pbc="T T T"
Os 1.3919 0.6960 1.0034
Os 1.3919 0.6960 5.4299
Os 0.0000 0.6960 7.4367
Os 0.0000 0.6960 11.8632
Cl 1.3919 -0.6960 9.6499
Cl 0.0000 2.0879 3.2166
```

Record 10
OsCl2 | GGA-PBE | optimized geometry

As for the energy above the most stable polymorph in this dataset: 5.133 eV/f.u. For the density of states at the Fermi level, the calculation gives 2.33 states/eV/cell. The magnetization is 4.1 Bohr magnetons per cell. Its uncorrected formation energy is 1.761 eV per atom. The total energy comes out at -9.64 eV for the cell shown.

The structure in extended XYZ format:
```
3
Lattice="4.8698 0.0000 0.0000 -2.4349 4.2174 0.0000 0.0000 0.0000 2.9295" Properties=species:S:1:pos:R:3 pbc="T T T"
Os 0.0000 0.0000 0.0000
Cl 0.0000 2.8116 1.4648
Cl 2.4349 1.4058 1.4648
```

Record 11
Os2Cl | GGA-PBE | optimized geometry

As for the energy above the most stable polymorph in this dataset: 1.329 eV/f.u. For the density of states at the Fermi level, the calculation gives 3.07 states/eV/cell. The magnetization is 0.0 Bohr magnetons per cell. Its uncorrected formation energy is 0.819 eV per atom. The total energy comes out at -21.85 eV for the cell shown.

The structure in extended XYZ format:
```
3
Lattice="-1.4346 1.4346 5.7904 1.4346 -1.4346 5.7904 1.4346 1.4346 -5.7904" Properties=species:S:1:pos:R:3 pbc="T T T"
Os 0.0000 0.0000 2.1072
Os 0.0000 0.0000 9.4736
Cl 0.0000 0.0000 5.7904
```

Record 12
Os2Cl | GGA-PBE | optimized geometry

As for the energy above the most stable polymorph in this dataset: 5.098 eV/f.u. For the density of states at the Fermi level, the calculation gives 3.10 states/eV/cell. The magnetization is 0.0 Bohr magnetons per cell. Its uncorrected formation energy is 2.076 eV per atom. The total energy comes out at -18.08 eV for the cell shown.

The structure in extended XYZ format:
```
3
Lattice="4.0546 0.0000 0.0000 0.0000 4.0546 0.0000 0.0000 0.0000 2.8565" Properties=species:S:1:pos:R:3 pbc="T T T"
Os 0.0000 2.0273 0.0000
Os 2.0273 0.0000 0.0000
Cl 0.0000 0.0000 1.4283
```

Record 13
OsCl2 | GGA-PBE | optimized geometry

As for the energy above the most stable polymorph in this dataset: 0.813 eV/f.u. For the density of states at the Fermi level, the calculation gives 2.44 states/eV/cell. The magnetization is 0.0 Bohr magnetons per cell. Its uncorrected formation energy is 0.321 eV per atom. The total energy comes out at -27.92 eV for the cell shown.

The structure in extended XYZ format:
```
6
Lattice="6.5535 -1.4976 0.0000 6.5535 1.4976 0.0000 -1.1645 0.0000 7.6447" Properties=species:S:1:pos:R:3 pbc="T T T"
Os 0.0000 0.0000 0.0000
Os 8.1094 0.0000 1.5518
Cl 2.5205 0.0000 3.4333
Cl 3.0588 0.0000 0.4894
Cl 5.5792 0.0000 5.8760
Cl 12.6827 0.0000 2.2866
```

Record 14
Os2Cl | GGA-PBE | optimized geometry

As for the energy above the most stable polymorph in this dataset: 0.549 eV/f.u. For the density of states at the Fermi level, the calculation gives 2.15 states/eV/cell. The magnetization is 0.0 Bohr magnetons per cell. Its uncorrected formation energy is 0.559 eV per atom. The total energy comes out at -22.63 eV for the cell shown.

The structure in extended XYZ format:
```
3
Lattice="-1.4351 1.4441 5.9163 1.4351 -1.4441 5.9163 1.4351 1.4441 -5.9163" Properties=species:S:1:pos:R:3 pbc="T T T"
Os 0.0000 0.0000 2.1800
Os 0.0000 0.0000 9.6526
Cl 1.4351 0.0000 0.0000
```

Record 15
Os2Cl | GGA-PBE | optimized geometry

As for the energy above the most stable polymorph in this dataset: 0.510 eV/f.u. For the density of states at the Fermi level, the calculation gives 4.83 states/eV/cell. The magnetization is 0.0 Bohr magnetons per cell. Its uncorrected formation energy is 0.547 eV per atom. The total energy comes out at -45.33 eV for the cell shown.

The structure in extended XYZ format:
```
6
Lattice="1.4352 -9.0888 0.0000 1.4352 9.0888 0.0000 0.0000 0.0000 4.1865" Properties=species:S:1:pos:R:3 pbc="T T T"
Os 1.4352 8.4101 3.1398
Os 1.4352 1.6024 3.1398
Os 1.4352 -1.6024 1.0466
Os 1.4352 -8.4101 1.0466
Cl 1.4352 3.1305 1.0466
Cl 1.4352 -3.1305 3.1398
```

Record 16
OsCl2 | GGA-PBE | optimized geometry

As for the energy above the most stable polymorph in this dataset: 0.000 eV/f.u. For the density of states at the Fermi level, the calculation gives 1.29 states/eV/cell. The magnetization is 2.0 Bohr magnetons per cell. Its uncorrected formation energy is 0.050 eV per atom. The total energy comes out at -29.54 eV for the cell shown.

The structure in extended XYZ format:
```
6
Lattice="6.6434 -1.7805 0.0000 6.6434 1.7805 0.0000 -2.2144 0.0000 6.7249" Properties=species:S:1:pos:R:3 pbc="T T T"
Os -0.2224 0.0000 1.1987
Os 11.2948 0.0000 5.5262
Cl 3.2372 0.0000 4.8876
Cl 4.8740 0.0000 1.2940
Cl 6.1984 0.0000 5.4309
Cl 7.8351 0.0000 1.8373
```

Record 17
Os4Cl | GGA-PBE | optimized geometry

As for the energy above the most stable polymorph in this dataset: 4.714 eV/f.u. For the density of states at the Fermi level, the calculation gives 5.43 states/eV/cell. The magnetization is 0.0 Bohr magnetons per cell. Its uncorrected formation energy is 2.081 eV per atom. The total energy comes out at -36.36 eV for the cell shown.

The structure in extended XYZ format:
```
5
Lattice="-2.7227 2.7227 2.7227 2.7227 -2.7227 2.7227 2.7227 2.7227 -2.7227" Properties=species:S:1:pos:R:3 pbc="T T T"
Os 1.3613 1.3613 -1.3613
Os 1.3613 -1.3613 1.3613
Os -1.3613 1.3613 1.3613
Os 1.3613 1.3613 1.3613
Cl 0.0000 0.0000 0.0000
```

Record 18
Os2Cl | GGA-PBE | optimized geometry

As for the energy above the most stable polymorph in this dataset: 0.788 eV/f.u. For the density of states at the Fermi level, the calculation gives 1.66 states/eV/cell. The magnetization is 0.0 Bohr magnetons per cell. Its uncorrected formation energy is 0.639 eV per atom. The total energy comes out at -22.39 eV for the cell shown.

The structure in extended XYZ format:
```
3
Lattice="2.8603 0.0000 0.0000 -1.4302 2.4771 0.0000 0.0000 0.0000 6.3906" Properties=species:S:1:pos:R:3 pbc="T T T"
Os 0.0000 1.6514 0.9896
Os 1.4302 0.8257 5.4011
Cl 0.0000 0.0000 3.1953
```

Record 19
OsCl4 | GGA-PBE | optimized geometry

For the density of states at the Fermi level, the calculation gives 6.32 states/eV/cell. The magnetization is 4.1 Bohr magnetons per cell. Its uncorrected formation energy is -0.292 eV per atom. The total energy comes out at -40.15 eV for the cell shown.

The structure in extended XYZ format:
```
10
Lattice="2.7743 -8.5149 0.0000 2.7743 8.5149 0.0000 0.0000 0.0000 5.8027" Properties=species:S:1:pos:R:3 pbc="T T T"
Os 2.7743 5.1065 4.3520
Os 2.7743 -5.1065 1.4507
Cl 1.4356 3.3367 3.3622
Cl 1.2699 1.8142 0.4601
Cl 1.2699 -1.8142 5.3425
Cl 1.4356 -3.3367 2.4404
Cl 4.1130 3.3367 5.3418
Cl 4.2786 1.8142 2.4412
Cl 4.2786 -1.8142 3.3615
Cl 4.1130 -3.3367 0.4609
```

Record 20
Os2Cl | GGA-PBE | optimized geometry

As for the energy above the most stable polymorph in this dataset: 0.294 eV/f.u. For the density of states at the Fermi level, the calculation gives 5.56 states/eV/cell. The magnetization is 0.0 Bohr magnetons per cell. Its uncorrected formation energy is 0.474 eV per atom. The total energy comes out at -45.77 eV for the cell shown.

The structure in extended XYZ format:
```
6
Lattice="4.9366 -1.4183 0.0000 4.9366 1.4183 0.0000 -4.1869 0.0000 8.7080" Properties=species:S:1:pos:R:3 pbc="T T T"
Os 0.5759 0.0000 1.1008
Os 3.2481 0.0000 0.8064
Os 2.4382 0.0000 7.9016
Os 5.1105 0.0000 7.6072
Cl -0.8484 0.0000 3.0045
Cl 6.5347 0.0000 5.7035
```

no.,calculated volume (Å³/cell)
1,54.7
2,66.4
3,89.4
4,188.3
5,151.5
6,286.3
7,86.2
8,805.3
9,99.7
10,60.2
11,47.7
12,47.0
13,150.1
14,49.0
15,109.2
16,159.1
17,80.7
18,45.3
19,274.2
20,121.9